(1)
Here is a relaxed structure of Ac3Tb3MgSe8 from Alexandria via LeMat-Bulk. Energies are from PBE.

a b c (Å): 8.3816 8.3809 8.6174
angles (deg): 119.10 90.00 120.00
Atoms (fractional coordinates):
Ac 0.0000 0.0000 0.0000
Ac 0.0000 0.5000 0.0000
Ac 0.5000 0.5000 0.0000
Tb 0.5000 0.0000 0.5000
Tb 0.5000 0.5000 0.5000
Tb 0.0000 0.5000 0.5000
Mg 0.0000 0.0000 0.5000
Se 0.2588 0.5176 0.2764
Se 0.7412 0.4824 0.7236
Se 0.7630 0.5260 0.2793
Se 0.2370 0.4740 0.7207
Se 0.7630 0.0163 0.2793
Se 0.2370 0.9837 0.7207
Se 0.2534 0.0163 0.2793
Se 0.7466 0.9837 0.7207

Summary:
DOS(E_F)	3.376	states/eV/f.u.

***

(2)
Here is a relaxed structure of Ac2TmMgSe5 from Alexandria via LeMat-Bulk. Energies are from PBE.

a b c (Å): 4.2261 9.2442 12.9245
angles (deg): 90.00 90.00 103.21
Atoms (fractional coordinates):
Ac 0.8644 0.7288 0.8095
Ac 0.1133 0.2266 0.6857
Ac 0.1356 0.2712 0.3095
Ac 0.8867 0.7734 0.1857
Tm 0.7967 0.5935 0.5145
Tm 0.2033 0.4065 0.0145
Mg 0.5450 0.0901 0.9530
Mg 0.4550 0.9099 0.4530
Se 0.3596 0.7193 0.0012
Se 0.6858 0.3717 0.8639
Se 0.4934 0.9867 0.7729
Se 0.2869 0.5739 0.6629
Se 0.9506 0.9011 0.5603
Se 0.6404 0.2807 0.5012
Se 0.3142 0.6283 0.3639
Se 0.5066 0.0133 0.2729
Se 0.7131 0.4261 0.1629
Se 0.0494 0.0989 0.0603

Summary:
DOS(E_F)	1.562	states/eV/f.u.

***

(3)
Here is a relaxed structure of Ac2YMgSe6 from Alexandria via LeMat-Bulk. Energies are from PBE.

a b c (Å): 6.8911 7.9344 10.3673
angles (deg): 90.00 91.67 90.00
Atoms (fractional coordinates):
Ac 0.0449 0.8947 0.2470
Ac 0.5449 0.6053 0.7470
Ac 0.9551 0.1053 0.7530
Ac 0.4551 0.3947 0.2530
Y 0.5000 0.0000 0.0000
Y 0.0000 0.5000 0.5000
Mg 0.5000 0.0000 0.5000
Mg 0.0000 0.5000 0.0000
Se 0.3281 0.6812 0.0572
Se 0.8281 0.8188 0.5572
Se 0.6719 0.3188 0.9428
Se 0.1719 0.1812 0.4428
Se 0.3369 0.6864 0.4428
Se 0.8369 0.8136 0.9428
Se 0.6631 0.3136 0.5572
Se 0.1631 0.1864 0.0572
Se 0.8796 0.5312 0.2410
Se 0.3796 0.9688 0.7410
Se 0.1204 0.4688 0.7590
Se 0.6204 0.0312 0.2590

Summary:
DOS(E_F)	7.449	states/eV/f.u.

***

(4)
Here is a relaxed structure of Ac2MgZrSe6 from Alexandria via LeMat-Bulk. Energies are from PBE.

a b c (Å): 6.9867 7.7123 10.1931
angles (deg): 90.00 89.51 90.00
Atoms (fractional coordinates):
Ac 0.0361 0.9005 0.2517
Ac 0.5361 0.5995 0.7517
Ac 0.9639 0.0995 0.7483
Ac 0.4639 0.4005 0.2483
Mg 0.5000 0.0000 0.0000
Mg 0.0000 0.5000 0.5000
Zr 0.5000 0.0000 0.5000
Zr 0.0000 0.5000 0.0000
Se 0.3185 0.6849 0.0532
Se 0.8185 0.8151 0.5532
Se 0.6815 0.3151 0.9468
Se 0.1815 0.1849 0.4468
Se 0.3232 0.6911 0.4463
Se 0.8232 0.8089 0.9463
Se 0.6768 0.3089 0.5537
Se 0.1768 0.1911 0.0537
Se 0.8887 0.5218 0.2514
Se 0.3887 0.9782 0.7514
Se 0.1113 0.4782 0.7486
Se 0.6113 0.0218 0.2486

***

Here are the calculated E numbers, same order: -5.4943, -5.3080, -5.3998, -5.6082 (eV per atom).
Here are the calculated calculated volume numbers, same order: 28.92, 27.31, 28.33, 27.46 (Å³ per atom).
Here are the calculated energy relative to the elements, uncorrected numbers, same order: -1.782, -1.785, -1.681, -1.682 (eV/atom).